*i*
First-principles (PBE-GGA) data for a geometry-optimized TbY4Er3 structure, as listed in the Alexandria database.

Output
SG: No. 31
total moment: 0.00 μB/cell
crystal system: orthorhombic

Cell lengths 11.2232, 7.2631, 6.2743 Å; angles 90.00, 90.00, 90.00 degrees
Element x y z (fractional)
Tb 0.0000 0.1232 0.0000
Tb 0.5000 0.8768 0.5000
Y 0.0000 0.3730 0.4971
Y 0.0000 0.6266 0.9958
Y 0.2493 0.6266 0.3332
Y 0.2507 0.3734 0.8332
Y 0.5000 0.3734 0.4958
Y 0.5000 0.6270 0.9971
Y 0.7493 0.3734 0.8332
Y 0.7507 0.6266 0.3332
Er 0.0000 0.8768 0.4995
Er 0.2501 0.1233 0.3302
Er 0.2499 0.8767 0.8302
Er 0.5000 0.1232 0.9995
Er 0.7499 0.1233 0.3302
Er 0.7501 0.8767 0.8302

***

*ii*
First-principles (PBE-GGA) data for a geometry-optimized TbY4Er3 structure, as listed in the Alexandria database.

Output
SG: No. 12
total moment: 0.00 μB/cell
crystal system: monoclinic

Cell lengths 12.0177, 12.0177, 6.1658 Å; angles 104.85, 104.85, 17.05 degrees
Element x y z (fractional)
Tb 0.0000 0.0000 0.0000
Y 0.1245 0.1245 0.7899
Y 0.2495 0.2495 0.2507
Y 0.7505 0.7505 0.7493
Y 0.8755 0.8755 0.2101
Er 0.3758 0.3758 0.7091
Er 0.5000 0.5000 0.5000
Er 0.6242 0.6242 0.2909

***

Which of them is the most stable? Correct choice: *i*.

***

*i*
First-principles (PBE-GGA) data for a geometry-optimized Tb12Y6Er structure, as listed in the Alexandria database.

Output
SG: No. 166
total moment: 0.00 μB/cell
crystal system: trigonal

Cell lengths 8.7027, 8.7027, 8.7027 Å; angles 98.47, 98.47, 98.47 degrees
Element x y z (fractional)
Tb 0.0000 0.2573 0.7427
Tb 0.0000 0.7427 0.2573
Tb 0.1447 0.1447 0.4180
Tb 0.1447 0.4180 0.1447
Tb 0.2573 0.0000 0.7427
Tb 0.2573 0.7427 0.0000
Tb 0.4180 0.1447 0.1447
Tb 0.5820 0.8553 0.8553
Tb 0.7427 0.0000 0.2573
Tb 0.7427 0.2573 0.0000
Tb 0.8553 0.5820 0.8553
Tb 0.8553 0.8553 0.5820
Y 0.1597 0.5989 0.5989
Y 0.4011 0.4011 0.8403
Y 0.4011 0.8403 0.4011
Y 0.5989 0.1597 0.5989
Y 0.5989 0.5989 0.1597
Y 0.8403 0.4011 0.4011
Er 0.5000 0.5000 0.5000

***

*ii*
First-principles (PBE-GGA) data for a geometry-optimized Tb12Y6Er structure, as listed in the Alexandria database.

Output
SG: No. 166
total moment: 0.00 μB/cell
crystal system: trigonal

Cell lengths 8.8301, 8.8301, 8.8301 Å; angles 98.34, 98.34, 98.34 degrees
Element x y z (fractional)
Tb 0.0000 0.3820 0.6180
Tb 0.0000 0.6180 0.3820
Tb 0.0295 0.0295 0.3154
Tb 0.0295 0.3154 0.0295
Tb 0.3154 0.0295 0.0295
Tb 0.3820 0.0000 0.6180
Tb 0.3820 0.6180 0.0000
Tb 0.6180 0.0000 0.3820
Tb 0.6180 0.3820 0.0000
Tb 0.6846 0.9705 0.9705
Tb 0.9705 0.6846 0.9705
Tb 0.9705 0.9705 0.6846
Y 0.2461 0.7017 0.7017
Y 0.2983 0.2983 0.7539
Y 0.2983 0.7539 0.2983
Y 0.7017 0.2461 0.7017
Y 0.7017 0.7017 0.2461
Y 0.7539 0.2983 0.2983
Er 0.5000 0.5000 0.5000

***

Which of them is the most stable? Correct choice: *i*.

***

*i*
First-principles (PBE-GGA) data for a geometry-optimized TbY2Er structure, as listed in the Alexandria database.

Output
SG: No. 166
total moment: 0.00 μB/cell
crystal system: trigonal

Cell lengths 11.7619, 11.7619, 11.7619 Å; angles 17.38, 17.38, 17.38 degrees
Element x y z (fractional)
Tb 0.0000 0.0000 0.0000
Y 0.2495 0.2495 0.2495
Y 0.7505 0.7505 0.7505
Er 0.5000 0.5000 0.5000

***

*ii*
First-principles (PBE-GGA) data for a geometry-optimized TbY2Er structure, as listed in the Alexandria database.

Output
SG: No. 160
total moment: 0.00 μB/cell
crystal system: trigonal

Cell lengths 11.6319, 11.6319, 11.6319 Å; angles 17.72, 17.72, 17.72 degrees
Element x y z (fractional)
Tb 0.0000 0.0000 0.0000
Y 0.4178 0.4178 0.4178
Y 0.5827 0.5827 0.5827
Er 0.8340 0.8340 0.8340

***

Which of them is the most stable? Correct choice: *ii*.